one | A relaxed structure of MgSb2TeW. Source: Alexandria, functional GGA-PBE.

Cell: 5.1630 5.1630 5.2679 Å, 90.00 90.00 90.00°
Last column: magnetic moment on the atom in μB.
Element x y z (fractional)
1 Sb 0.0000 0.5000 0.0000  0.00
2 Sb 0.5000 0.0000 0.0000  0.00
3 Mg 0.0000 0.0000 0.0000  0.00
4 Te 0.0000 0.0000 0.5000  0.04
5 W 0.5000 0.5000 0.5000  -0.06

Theoretical density (g/cm³): 6.85

two | A relaxed structure of MgSb2TeW. Source: Alexandria, functional GGA-PBE.

Cell: 5.2796 5.2796 5.3978 Å, 90.00 90.00 90.00°
Element x y z (fractional)
1 Sb 0.0000 0.5000 0.0000
2 Sb 0.5000 0.0000 0.0000
3 Mg 0.5000 0.5000 0.5000
4 Te 0.0000 0.0000 0.5000
5 W 0.0000 0.0000 0.0000

Theoretical density (g/cm³): 6.39

Relative stability in meV per atom, measured from the most stable structure: one 1042; two 0

one | A relaxed structure of YMgSbTe2. Source: Alexandria, functional GGA-PBE.

Cell: 5.4617 5.4617 5.2662 Å, 90.00 90.00 90.00°
Element x y z (fractional)
1 Y 0.5000 0.5000 0.5000
2 Sb 0.0000 0.0000 0.5000
3 Mg 0.0000 0.0000 0.0000
4 Te 0.0000 0.5000 0.0000
5 Te 0.5000 0.0000 0.0000

Theoretical density (g/cm³): 5.18

two | A relaxed structure of YMgSbTe2. Source: Alexandria, functional GGA-PBE.

Cell: 5.8064 5.8064 5.8488 Å, 90.00 90.00 90.00°
Element x y z (fractional)
1 Y 0.0000 0.0000 0.0000
2 Sb 0.0000 0.0000 0.5000
3 Mg 0.5000 0.5000 0.5000
4 Te 0.0000 0.5000 0.0000
5 Te 0.5000 0.0000 0.0000

Theoretical density (g/cm³): 4.13

Relative stability in meV per atom, measured from the most stable structure: one 0; two 66

one | A relaxed structure of MgZrSbTe2. Source: Alexandria, functional GGA-PBE.

Cell: 5.2064 5.2064 5.5939 Å, 90.00 90.00 90.00°
Last column: magnetic moment on the atom in μB.
Element x y z (fractional)
1 Sb 0.5000 0.5000 0.5000  -0.01
2 Mg 0.0000 0.0000 0.0000  0.00
3 Te 0.0000 0.5000 0.0000  0.00
4 Te 0.5000 0.0000 0.0000  0.00
5 Zr 0.0000 0.0000 0.5000  0.18

Theoretical density (g/cm³): 5.39

two | A relaxed structure of MgZrSbTe2. Source: Alexandria, functional GGA-PBE.

Cell: 5.3488 5.3488 5.2382 Å, 90.00 90.00 90.00°
Element x y z (fractional)
1 Sb 0.0000 0.0000 0.5000
2 Mg 0.0000 0.0000 0.0000
3 Te 0.0000 0.5000 0.0000
4 Te 0.5000 0.0000 0.0000
5 Zr 0.5000 0.5000 0.5000

Theoretical density (g/cm³): 5.46

three | A relaxed structure of MgZrSbTe2. Source: Alexandria, functional GGA-PBE.

Cell: 5.5802 5.6384 5.5802 Å, 90.00 90.00 90.00°
Element x y z (fractional)
1 Sb 0.0000 0.5000 0.0000
2 Mg 0.5000 0.5000 0.5000
3 Te 0.0000 0.0000 0.5000
4 Te 0.5000 0.0000 0.0000
5 Zr 0.0000 0.0000 0.0000

Theoretical density (g/cm³): 4.66

Relative stability in meV per atom, measured from the most stable structure: one 672; two 498; three 0

one | A relaxed structure of MgTlSb2. Source: Alexandria, functional GGA-PBE.

Cell: 6.0933 6.0933 6.0933 Å, 141.35 128.90 65.86°
Element x y z (fractional)
1 Mg 0.2500 0.7500 0.5000
2 Sb 0.0192 0.0192 0.0000
3 Sb 0.4808 0.4808 0.0000
4 Tl 0.7500 0.2500 0.5000

Theoretical density (g/cm³): 7.23

two | A relaxed structure of MgTlSb2. Source: Alexandria, functional GGA-PBE.

Cell: 5.3643 5.3643 5.3643 Å, 60.00 60.00 60.00°
Element x y z (fractional)
1 Mg 0.5000 0.5000 0.5000
2 Sb 0.0000 0.0000 0.0000
3 Sb 0.2500 0.2500 0.2500
4 Tl 0.7500 0.7500 0.7500

Theoretical density (g/cm³): 7.18

three | A relaxed structure of MgTlSb2. Source: Alexandria, functional GGA-PBE.

Cell: 7.7886 7.7886 4.8077 Å, 83.27 83.27 24.05°
Element x y z (fractional)
1 Mg 0.2972 0.2972 0.3267
2 Sb 0.9256 0.9256 0.9503
3 Sb 0.7236 0.7236 0.8152
4 Tl 0.5536 0.5536 0.4078

Theoretical density (g/cm³): 6.64

four | A relaxed structure of MgTlSb2. Source: Alexandria, functional GGA-PBE.

Cell: 5.3636 5.3636 5.3636 Å, 60.00 60.00 60.00°
Element x y z (fractional)
1 Sb 0.2500 0.2500 0.2500
2 Sb 0.7500 0.7500 0.7500
3 Tl 0.5000 0.5000 0.5000
4 Mg 0.0000 0.0000 0.0000

Theoretical density (g/cm³): 7.19

Relative stability in meV per atom, measured from the most stable structure: one 71; two 133; three 0; four 122

one | A relaxed structure of MgTlSb2. Source: Alexandria, functional GGA-PBE.

Cell: 3.2878 3.2878 10.0002 Å, 90.00 90.00 90.00°
Element x y z (fractional)
1 Mg 0.5000 0.5000 0.7568
2 Sb 0.0000 0.0000 0.9628
3 Sb 0.5000 0.5000 0.2616
4 Tl 0.0000 0.0000 0.5188

Theoretical density (g/cm³): 7.25

two | A relaxed structure of MgTlSb2. Source: Alexandria, functional GGA-PBE.

Cell: 3.2911 3.2911 10.0940 Å, 90.00 90.00 100.32°
Element x y z (fractional)
1 Mg 0.5000 0.5000 0.7550
2 Sb 0.0000 0.0000 0.9643
3 Sb 0.5000 0.5000 0.2640
4 Tl 0.0000 0.0000 0.5167

Theoretical density (g/cm³): 7.29

three | A relaxed structure of MgTlSb2. Source: Alexandria, functional GGA-PBE.

Cell: 5.9737 5.9737 3.3096 Å, 90.00 90.00 112.50°
Element x y z (fractional)
1 Mg 0.0000 0.5000 0.5000
2 Sb 0.0000 0.0000 0.0000
3 Sb 0.5000 0.5000 0.0000
4 Tl 0.5000 0.0000 0.5000

Theoretical density (g/cm³): 7.19

Relative stability in meV per atom, measured from the most stable structure: one 66; two 59; three 0

one | A relaxed structure of MgTlSb2. Source: Alexandria, functional GGA-PBE.

Cell: 3.3400 3.3400 9.9254 Å, 90.00 90.00 90.00°
Element x y z (fractional)
1 Mg 0.5000 0.5000 0.7500
2 Sb 0.0000 0.0000 0.9608
3 Sb 0.0000 0.0000 0.5392
4 Tl 0.5000 0.5000 0.2500

Theoretical density (g/cm³): 7.08

two | A relaxed structure of MgTlSb2. Source: Alexandria, functional GGA-PBE.

Cell: 3.4095 5.3207 6.1300 Å, 90.00 90.00 90.00°
Element x y z (fractional)
1 Mg 0.5000 0.5000 0.8711
2 Sb 0.0000 0.0000 0.8781
3 Sb 0.5000 0.5000 0.3713
4 Tl 0.0000 0.0000 0.3795

Theoretical density (g/cm³): 7.05

three | A relaxed structure of MgTlSb2. Source: Alexandria, functional GGA-PBE.

Cell: 3.9056 3.9056 7.5239 Å, 90.00 90.00 90.00°
Element x y z (fractional)
1 Mg 0.5000 0.5000 0.7732
2 Sb 0.0000 0.0000 0.0031
3 Sb 0.5000 0.5000 0.1853
4 Tl 0.0000 0.0000 0.5385

Theoretical density (g/cm³): 6.83

four | A relaxed structure of MgTlSb2. Source: Alexandria, functional GGA-PBE.

Cell: 5.0753 5.0753 6.5634 Å, 76.42 76.42 46.97°
Element x y z (fractional)
1 Mg 0.2500 0.2500 0.2500
2 Sb 0.9877 0.9877 0.0691
3 Sb 0.5123 0.5123 0.4309
4 Tl 0.7500 0.7500 0.7500

Theoretical density (g/cm³): 6.56

Relative stability in meV per atom, measured from the most stable structure: one 0; two 77; three 108; four 26